# PrSbPt4 (GGA-PBE, relaxed)
data_PrSbPt4
_chemical_formula_sum 'Pr4 Sb4 Pt16'
_symmetry_space_group_name_H-M 'F -4 3 m'
_symmetry_Int_Tables_number 216
_symmetry_space_group_name_Hall 'F -4 2 3'
_cell_length_a 7.751
_cell_length_b 7.751
_cell_length_c 7.751
_cell_angle_alpha 90.00
_cell_angle_beta 90.00
_cell_angle_gamma 90.00
loop_
_atom_site_label
_atom_site_fract_x
_atom_site_fract_y
_atom_site_fract_z
Pr1 0.000 0.000 0.000
Sb1 0.250 0.250 0.750
Pt1 0.125 0.125 0.375
# Calculated density   14874 kg/m3
# E above lowest polymorph   0.0000 eV/atom
# Electronic total energy   -6.166 eV/atom
# Volume   19.406 A^3/atom
# DOS at the Fermi energy   0.2103 states/eV per atom

***

# Li2Pm2SmSb2 (GGA-PBE, relaxed)
data_Li2Pm2SmSb2
_chemical_formula_sum 'Li6 Pm6 Sm3 Sb6'
_symmetry_space_group_name_H-M 'R -3 m'
_symmetry_Int_Tables_number 166
_symmetry_space_group_name_Hall '-R 3 2"'
_cell_length_a 4.7727
_cell_length_b 4.7727
_cell_length_c 27.4338
_cell_angle_alpha 90.00
_cell_angle_beta 90.00
_cell_angle_gamma 120.00
loop_
_atom_site_label
_atom_site_fract_x
_atom_site_fract_y
_atom_site_fract_z
Li1 0.0000 0.0000 0.0950
Pm1 0.0000 0.0000 0.3703
Sm1 0.0000 0.0000 0.5000
Sb1 0.0000 0.0000 0.2345
# Calculated density   6423 kg/m3
# Electronic total energy   -4.357 eV/atom
# Volume   25.771 A^3/atom
# DOS at the Fermi energy   0.7143 states/eV per atom

***

no.,raw formation energy (eV/atom)
1,-0.65
2,-0.60